# CaCrSCl2 PBE-GGA optimized geometry
# Energy relative to the elements, uncorrected, eV/atom: -0.51
# Offset from the most stable computed form, eV/atom: 0.663
# DOS(E_F), states/eV per cell: 6.16
# Total energy, eV per atom: -4.40
data_CaCrSCl2
_chemical_formula_sum 'Ca1 Cr1 S1 Cl2'
_cell_length_a 4.2855
_cell_length_b 4.2855
_cell_length_c 7.1752
_cell_angle_alpha 90.00
_cell_angle_beta 90.00
_cell_angle_gamma 90.00
_symmetry_space_group_name_H-M 'P 4/m m m'
_symmetry_Int_Tables_number 123
_symmetry_space_group_name_Hall '-P 4 2'
loop_
_atom_site_label
_atom_site_type_symbol
_atom_site_fract_x
_atom_site_fract_y
_atom_site_fract_z
Ca1 Ca 0.0000 0.0000 0.0000
Cr1 Cr 0.0000 0.0000 0.5000
S1 S 0.5000 0.5000 0.0000
Cl1 Cl 0.0000 0.5000 0.5000